CsInW2O8 | PBE with a Hubbard U | relaxed

Properties
electronic total energy = -80.44 eV/cell

a b c (Å): 5.633 5.633 9.659
angles (deg): 73.05 73.05 60.00
Fractional positions:
Cs: 0.500 0.500 0.500
In: 0.000 0.000 0.000
W: 0.267 0.267 0.200
W: 0.733 0.733 0.800
O: 0.201 0.201 0.396
O: 0.619 0.235 0.139
O: 0.799 0.799 0.604
O: 0.007 0.619 0.139
O: 0.993 0.381 0.861
O: 0.235 0.007 0.139
O: 0.765 0.993 0.861
O: 0.381 0.765 0.861